Entry 1:
Entry from Alexandria via LeMat-Bulk: a PBEsol-optimized structure of Te2AsWI (meta-GGA SCAN).

Its volume is 28.48 Å³ per atom. The value obtained for the total DFT energy (no corrections) is -196.03 eV/cell. The value obtained for the density is 7.47 g/cm³. The uncorrected formation energy is 98 kJ/mol of atoms.

Cell: 5.192 5.192 5.282 Å, 90.00 90.00 90.00°
Sites, in units of the cell vectors:
Te1 0.000 0.500 0.000
Te2 0.500 0.000 0.000
As1 0.000 0.000 0.500
W1 0.500 0.500 0.000
I1 0.500 0.500 0.500


Entry 2:
Entry from Alexandria via LeMat-Bulk: a PBEsol-optimized structure of AlBrCl3 (meta-GGA SCAN).

Its volume is 20.86 Å³ per atom. The value obtained for the total DFT energy (no corrections) is -55.02 eV/cell. The value obtained for the density is 3.39 g/cm³. The uncorrected formation energy is -75 kJ/mol of atoms.

Cell: 4.707 4.707 4.707 Å, 90.00 90.00 90.00°
Sites, in units of the cell vectors:
Al1 0.000 0.000 0.000
Br1 0.500 0.500 0.500
Cl1 0.000 0.000 0.500
Cl2 0.000 0.500 0.000
Cl3 0.500 0.000 0.000


Entry 3:
Entry from Alexandria via LeMat-Bulk: a PBEsol-optimized structure of LiPm2Sn (meta-GGA SCAN).

Its volume is 25.97 Å³ per atom. The value obtained for the total DFT energy (no corrections) is -513.38 eV/cell. The value obtained for the density is 6.64 g/cm³.

Cell: 7.462 7.462 7.462 Å, 90.00 90.00 90.00°
Sites, in units of the cell vectors:
Li1 0.000 0.000 0.000
Li2 0.000 0.500 0.500
Li3 0.500 0.000 0.500
Li4 0.500 0.500 0.000
Pm1 0.250 0.250 0.250
Pm2 0.250 0.250 0.750
Pm3 0.250 0.750 0.250
Pm4 0.250 0.750 0.750
Pm5 0.750 0.250 0.250
Pm6 0.750 0.250 0.750
Pm7 0.750 0.750 0.250
Pm8 0.750 0.750 0.750
Sn1 0.000 0.000 0.500
Sn2 0.000 0.500 0.000
Sn3 0.500 0.000 0.000
Sn4 0.500 0.500 0.500


Entry 4:
Entry from Alexandria via LeMat-Bulk: a PBEsol-optimized structure of HfReAs2O (meta-GGA SCAN).

Its volume is 20.30 Å³ per atom. The value obtained for the total DFT energy (no corrections) is -179.72 eV/cell. The value obtained for the density is 8.68 g/cm³. The uncorrected formation energy is 13 kJ/mol of atoms.

Cell: 5.161 5.161 3.811 Å, 90.00 90.00 90.00°
Sites, in units of the cell vectors:
Hf1 0.000 0.000 0.000
Re1 0.500 0.500 0.500
As1 0.000 0.500 0.000
As2 0.500 0.000 0.000
O1 0.000 0.000 0.500


Entry 5:
Entry from Alexandria via LeMat-Bulk: a PBEsol-optimized structure of KSr3 (meta-GGA SCAN).

Its volume is 55.02 Å³ per atom. The value obtained for the total DFT energy (no corrections) is -224.32 eV/cell. As for the excess energy over the best structure of this formula in the dataset: 44 meV/atom. The value obtained for the density is 2.28 g/cm³.

Cell: 13.600 13.600 4.122 Å, 90.00 90.00 120.00°
Sites, in units of the cell vectors:
K1 0.000 0.000 0.000
K2 0.333 0.667 0.667
K3 0.667 0.333 0.333
Sr1 0.000 0.500 0.000
Sr2 0.167 0.333 0.333
Sr3 0.167 0.833 0.333
Sr4 0.333 0.167 0.667
Sr5 0.500 0.000 0.000
Sr6 0.500 0.500 0.000
Sr7 0.667 0.833 0.333
Sr8 0.833 0.167 0.667
Sr9 0.833 0.667 0.667


Entry 6:
Entry from Alexandria via LeMat-Bulk: a PBEsol-optimized structure of CaTcAu2 (meta-GGA SCAN).

Its volume is 18.67 Å³ per atom. The value obtained for the total DFT energy (no corrections) is -182.59 eV/cell. As for the excess energy over the best structure of this formula in the dataset: 135 meV/atom. The value obtained for the density is 11.83 g/cm³.

Cell: 3.457 3.457 6.249 Å, 90.00 90.00 90.00°
Sites, in units of the cell vectors:
Ca1 0.000 0.000 0.000
Tc1 0.500 0.500 0.302
Au1 0.000 0.000 0.484
Au2 0.500 0.500 0.740


Entry 7:
Entry from Alexandria via LeMat-Bulk: a PBEsol-optimized structure of KTaNiSe2 (meta-GGA SCAN).

Its volume is 23.73 Å³ per atom. The value obtained for the total DFT energy (no corrections) is -132.51 eV/cell. The value obtained for the density is 6.11 g/cm³. The uncorrected formation energy is -25 kJ/mol of atoms.

Cell: 5.013 5.013 4.722 Å, 90.00 90.00 90.00°
Sites, in units of the cell vectors:
K1 0.000 0.000 0.000
Ta1 0.500 0.500 0.500
Ni1 0.500 0.500 0.000
Se1 0.000 0.500 0.500
Se2 0.500 0.000 0.500


Entry 8:
Entry from Alexandria via LeMat-Bulk: a PBEsol-optimized structure of TlCoTc2 (meta-GGA SCAN).

Its volume is 14.61 Å³ per atom. The value obtained for the total DFT energy (no corrections) is -156.82 eV/cell. As for the excess energy over the best structure of this formula in the dataset: 398 meV/atom. The value obtained for the density is 13.05 g/cm³.

Cell: 3.662 3.662 4.359 Å, 90.00 90.00 90.00°
Sites, in units of the cell vectors:
Tl1 0.000 0.000 0.000
Co1 0.500 0.500 0.000
Tc1 0.000 0.500 0.500
Tc2 0.500 0.000 0.500


Q: Which value of total DFT energy (no corrections) does entry 2 give?
A: -55.02 eV/cell


Q: What is the formula in the seventh record?
A: KTaNiSe2


Q: The highest density belongs to which entry?
A: TlCoTc2


Q: Which of these has the highest volume?
A: KSr3